P) BSeF3: optimized geometry, GGA-PBE. Values from VASP.

The structure in Quantum ESPRESSO input format:
```
&SYSTEM
  ibrav = 0, nat = 5, ntyp = 3
/
ATOMIC_SPECIES
B 10.81 B.upf
Se 78.96 Se.upf
F 19.00 F.upf
CELL_PARAMETERS angstrom
4.355 0.000 0.000
0.000 4.355 0.000
0.000 0.000 4.355
ATOMIC_POSITIONS crystal
B 0.000 0.000 0.000
Se 0.500 0.500 0.500
F 0.000 0.500 0.500
F 0.500 0.000 0.500
F 0.500 0.500 0.000
```

---

Q) BSeF3: optimized geometry, GGA-PBE. Values from VASP.

The structure in Quantum ESPRESSO input format:
```
&SYSTEM
  ibrav = 0, nat = 5, ntyp = 3
/
ATOMIC_SPECIES
B 10.81 B.upf
Se 78.96 Se.upf
F 19.00 F.upf
CELL_PARAMETERS angstrom
3.893 0.000 0.000
0.000 3.893 0.000
0.000 0.000 3.893
ATOMIC_POSITIONS crystal
B 0.000 0.000 0.000
Se 0.500 0.500 0.500
F 0.000 0.000 0.500
F 0.000 0.500 0.000
F 0.500 0.000 0.000
```

---

On energetic grounds, Q) is preferred over the next structure by 0.327 eV/atom.

---

P) SiBF2: optimized geometry, GGA-PBE. Values from VASP.

The structure in Quantum ESPRESSO input format:
```
&SYSTEM
  ibrav = 0, nat = 4, ntyp = 3
/
ATOMIC_SPECIES
Si 28.09 Si.upf
B 10.81 B.upf
F 19.00 F.upf
CELL_PARAMETERS angstrom
1.292 0.746 8.143
-1.292 0.746 8.143
0.000 -1.492 8.143
ATOMIC_POSITIONS crystal
Si 0.000 0.000 0.000
B 0.500 0.500 0.500
F 0.068 0.068 0.068
F 0.932 0.932 0.932
```

---

Q) SiBF2: optimized geometry, GGA-PBE. Values from VASP.

The structure in Quantum ESPRESSO input format:
```
&SYSTEM
  ibrav = 0, nat = 4, ntyp = 3
/
ATOMIC_SPECIES
Si 28.09 Si.upf
B 10.81 B.upf
F 19.00 F.upf
CELL_PARAMETERS angstrom
0.000 2.889 2.889
2.889 0.000 2.889
2.889 2.889 0.000
ATOMIC_POSITIONS crystal
Si 0.000 0.000 0.000
B 0.500 0.500 0.500
F 0.250 0.250 0.250
F 0.750 0.750 0.750
```

---

On energetic grounds, P) is preferred over the next structure by 0.731 eV/atom.

---

P) SiBF2: optimized geometry, GGA-PBE. Values from VASP.

The structure in Quantum ESPRESSO input format:
```
&SYSTEM
  ibrav = 0, nat = 4, ntyp = 3
/
ATOMIC_SPECIES
Si 28.09 Si.upf
B 10.81 B.upf
F 19.00 F.upf
CELL_PARAMETERS angstrom
1.305 0.753 10.369
-1.305 0.753 10.369
0.000 -1.507 10.369
ATOMIC_POSITIONS crystal
Si 0.000 0.000 0.000
B 0.500 0.500 0.500
F 0.457 0.457 0.457
F 0.543 0.543 0.543
```

---

Q) SiBF2: optimized geometry, GGA-PBE. Values from VASP.

The structure in Quantum ESPRESSO input format:
```
&SYSTEM
  ibrav = 0, nat = 8, ntyp = 3
/
ATOMIC_SPECIES
Si 28.09 Si.upf
B 10.81 B.upf
F 19.00 F.upf
CELL_PARAMETERS angstrom
0.000 3.754 3.754
3.754 0.000 3.754
3.754 3.754 0.000
ATOMIC_POSITIONS crystal
Si 0.125 0.125 0.125
Si 0.875 0.875 0.875
B 0.375 0.375 0.375
B 0.625 0.625 0.625
F 0.000 0.500 0.500
F 0.500 0.000 0.500
F 0.500 0.500 0.000
F 0.500 0.500 0.500
```

---

On energetic grounds, P) is preferred over the next structure by 0.717 eV/atom.